No. 1
A relaxed TlSbAs2 crystal. Source: Alexandria via LeMat-Bulk, functional PBE.

Cell lengths 6.0437, 6.0437, 3.0739 Å; angles 81.52, 81.52, 117.40 degrees
Last column: nearest neighbours and their distance in Å.
Sites, in units of the cell vectors:
Tl1 0.0000 0.5000 0.5000  2 Tl 3.07, 2 Sb 3.14, 4 As 3.18
As1 0.5000 0.5000 0.0000  4 As 3.07-3.14, 2 Sb 3.18, 2 Tl 3.18
As2 0.0000 0.0000 0.0000  4 As 3.07-3.14, 2 Tl 3.18, 2 Sb 3.18
Sb1 0.5000 0.0000 0.5000  2 Sb 3.07, 2 Tl 3.14, 4 As 3.18

Calculated values
- total moment (μB per cell) = 0.0

No. 2
A relaxed TlSbAs2 crystal. Source: Alexandria via LeMat-Bulk, functional PBE.

Cell lengths 3.8305, 3.9884, 7.0741 Å; angles 90.00, 90.00, 90.00 degrees
Last column: nearest neighbours and their distance in Å.
Sites, in units of the cell vectors:
Tl1 0.5000 0.5000 0.8074  5 As 3.17-3.23
As1 0.0000 0.0000 0.0257  1 Sb 2.67
As2 0.5000 0.5000 0.2638  4 Sb 2.94, 1 Tl 3.23, 4 As 3.24
Sb1 0.0000 0.0000 0.4031  5 As 2.67-2.94

Calculated values
- total moment (μB per cell) = 0.0

No. 3
A relaxed TlSb2As crystal. Source: Alexandria via LeMat-Bulk, functional PBE.

Cell lengths 6.3729, 6.3729, 8.5470 Å; angles 68.11, 68.11, 90.00 degrees
Last column: nearest neighbours and their distance in Å.
Sites, in units of the cell vectors:
As1 0.2500 0.7500 0.5000  4 Sb 2.79
As2 0.5000 0.5000 0.0000  4 Sb 2.79
Sb1 0.5941 0.1250 0.2500  2 As 2.79, 2 Tl 3.01
Sb2 0.1559 0.6250 0.2500  2 As 2.79, 2 Tl 3.01
Sb3 0.8750 0.8441 0.7500  2 As 2.79, 2 Tl 3.01
Sb4 0.3750 0.4059 0.7500  2 As 2.79, 2 Tl 3.01
Tl1 0.7500 0.2500 0.5000  4 Sb 3.01
Tl2 0.0000 0.0000 0.0000  4 Sb 3.01

Calculated values
- total moment (μB per cell) = 0.0

No. 4
A relaxed TlSb2As crystal. Source: Alexandria via LeMat-Bulk, functional PBE.

Cell lengths 3.8006, 3.8006, 9.4443 Å; angles 78.39, 78.39, 60.00 degrees
Last column: nearest neighbours and their distance in Å.
Sites, in units of the cell vectors:
Sb1 0.2640 0.2640 0.2079  3 As 2.93
Sb2 0.0648 0.0648 0.8057  3 As 2.81
Tl1 0.5034 0.5034 0.4898  6 Sb 3.39-3.64, 6 Tl 3.80
As1 0.6678 0.6678 0.9966  6 Sb 2.81-2.93

Calculated values
- total moment (μB per cell) = 0.0

Quick rundown of polymorph energy (0 for the lowest one), same order as above: 5.72; 2.39; 3.25; 0.12 kcal/mol of atoms
Quick rundown of ΔE_f (raw), same order as above: 1.41; 0.83; 1.02; 0.47 eV per formula unit
Quick rundown of DFT total energy, same order as above: -14.38; -14.95; -28.49; -14.79 eV for the cell shown